{
  "formula": "Pb2OF",
  "functional": "PBE",
  "state": "optimized geometry",
  "e_form_raw_ev_per_atom": -1.137,
  "rho_g_cm3": 8.5,
  "final_energy_ev_per_cell": -18.79,
  "spacegroup": "R-3m",
  "relative_energy_mev_per_atom": 188,
  "total_magnetization_mub_per_fu": 0.00,
  "lattice_angstrom": [[3.5840, 0.0000, 0.0000], [1.7920, 3.1039, 0.0000], [1.7920, 1.0346, 7.9106]],
  "species": ["Pb", "Pb", "O", "F"],
  "frac_coords": [[0.0990, 0.0990, 0.7030], [0.9010, 0.9010, 0.2970], [0.5000, 0.5000, 0.5000], [0.0000, 0.0000, 0.0000]]
}